Compound: TeP2ClO
Source: Alexandria
Functional: PBE-GGA
Structure: relaxed

Cell lengths 4.360, 4.360, 4.500 Å; angles 90.00, 90.00, 90.00 degrees
Space group P4/mmm (No. 123)
Inequivalent atoms, fractional coordinates:
Te (0.000, 0.000, 0.000)
P (0.000, 0.500, 0.500)
Cl (0.500, 0.500, 0.000)
O (0.500, 0.500, 0.500)

- formation energy from raw total energies (eV per formula unit) = 3.2
- E above lowest polymorph (meV/atom) = 0
- V (A^3/atom) = 17.11
- final energy (eV per atom) = -3.513

Compound: TiPCl2O
Source: Alexandria
Functional: PBE-GGA
Structure: relaxed

Cell lengths 4.547, 4.547, 5.029 Å; angles 90.00, 90.00, 90.00 degrees
Space group P4/mmm (No. 123)
Inequivalent atoms, fractional coordinates:
Ti (0.000, 0.000, 0.000)
P (0.000, 0.000, 0.500)
Cl (0.000, 0.500, 0.000)
O (0.500, 0.500, 0.500)

- formation energy from raw total energies (eV per formula unit) = 0.4
- E above lowest polymorph (meV/atom) = 0
- V (A^3/atom) = 20.79
- final energy (eV per atom) = -4.309

Compound: TiPCl2O
Source: Alexandria
Functional: PBE-GGA
Structure: relaxed

Cell lengths 5.380, 5.380, 3.296 Å; angles 90.00, 90.00, 90.00 degrees
Space group P4/mmm (No. 123)
Inequivalent atoms, fractional coordinates:
Ti (0.000, 0.000, 0.000)
P (0.500, 0.500, 0.000)
Cl (0.000, 0.500, 0.500)
O (0.500, 0.500, 0.500)

- formation energy from raw total energies (eV per formula unit) = 0.5
- E above lowest polymorph (meV/atom) = 18
- V (A^3/atom) = 19.08
- final energy (eV per atom) = -4.291

Compound: TiP2Cl8O3
Source: Alexandria
Functional: PBE-GGA
Structure: relaxed

Cell lengths 9.099, 16.244, 13.276 Å; angles 90.00, 125.66, 90.00 degrees
Space group P2_1/c (No. 14)
Inequivalent atoms, fractional coordinates:
Ti (0.216, 0.130, 0.138)
P (0.005, 0.067, 0.289)
P (0.219, 0.583, 0.615)
Cl (0.096, 0.670, 0.194)
Cl (0.127, 0.246, 0.660)
Cl (0.184, 0.018, 0.769)
Cl (0.206, 0.035, 0.461)
Cl (0.316, 0.623, 0.786)
Cl (0.349, 0.171, 0.050)
Cl (0.377, 0.640, 0.576)
Cl (0.464, 0.124, 0.337)
O (0.029, 0.615, 0.529)
O (0.061, 0.074, 0.205)
O (0.250, 0.008, 0.118)

- formation energy from raw total energies (eV per formula unit) = -20.2
- V (A^3/atom) = 28.47
- final energy (eV per atom) = -4.895

Compound: TiPCl7O
Source: Alexandria
Functional: PBE-GGA
Structure: relaxed

Cell lengths 13.190, 13.297, 14.223 Å; angles 90.00, 90.00, 90.00 degrees
Space group Pbca (No. 61)
Inequivalent atoms, fractional coordinates:
Ti (0.063, 0.132, 0.003)
P (0.185, 0.066, 0.790)
Cl (0.005, 0.164, 0.147)
Cl (0.013, 0.224, 0.436)
Cl (0.098, 0.549, 0.544)
Cl (0.121, 0.029, 0.669)
Cl (0.219, 0.045, 0.321)
Cl (0.226, 0.167, 0.032)
Cl (0.228, 0.684, 0.763)
O (0.108, 0.083, 0.864)

- formation energy from raw total energies (eV per formula unit) = -13.4
- V (A^3/atom) = 31.18
- final energy (eV per atom) = -4.455

Compound: TlPCl2O
Source: Alexandria
Functional: PBE-GGA
Structure: relaxed

Cell lengths 5.311, 5.311, 5.478 Å; angles 90.00, 90.00, 90.00 degrees
Space group P4/mmm (No. 123)
Inequivalent atoms, fractional coordinates:
Tl (0.000, 0.000, 0.000)
P (0.000, 0.000, 0.500)
Cl (0.000, 0.500, 0.000)
O (0.500, 0.500, 0.500)

- formation energy from raw total energies (eV per formula unit) = 3.9
- E above lowest polymorph (meV/atom) = 1040
- V (A^3/atom) = 30.90
- final energy (eV per atom) = -2.499

Compound: TlPCl2O
Source: Alexandria
Functional: PBE-GGA
Structure: relaxed

Cell lengths 5.986, 5.986, 3.366 Å; angles 90.00, 90.00, 90.00 degrees
Space group P4/mmm (No. 123)
Inequivalent atoms, fractional coordinates:
Tl (0.000, 0.000, 0.000)
P (0.500, 0.500, 0.000)
Cl (0.000, 0.500, 0.500)
O (0.500, 0.500, 0.500)

- formation energy from raw total energies (eV per formula unit) = -1.3
- E above lowest polymorph (meV/atom) = 0
- V (A^3/atom) = 24.12
- final energy (eV per atom) = -3.539

Compound: Tl2PCl5O
Source: Alexandria
Functional: PBE-GGA
Structure: relaxed

Cell lengths 6.900, 6.900, 9.846 Å; angles 90.00, 90.00, 90.00 degrees
Space group I4mm (No. 107)
Inequivalent atoms, fractional coordinates:
Tl (0.000, 0.500, 0.000)
P (0.000, 0.000, 0.223)
Cl (0.000, 0.000, 0.459)
Cl (0.231, 0.231, 0.248)
O (0.000, 0.000, 0.070)

- formation energy from raw total energies (eV per formula unit) = -7.6
- V (A^3/atom) = 26.04
- final energy (eV per atom) = -3.549

- What is the V in the first record?
  17.11 A^3/atom

- Number 7 is which compound?
  TlPCl2O

- What is the formula in the first record?
  TeP2ClO

Please write out number 6 again, unchanged.
Compound: TlPCl2O
Source: Alexandria
Functional: PBE-GGA
Structure: relaxed

Cell lengths 5.311, 5.311, 5.478 Å; angles 90.00, 90.00, 90.00 degrees
Space group P4/mmm (No. 123)
Inequivalent atoms, fractional coordinates:
Tl (0.000, 0.000, 0.000)
P (0.000, 0.000, 0.500)
Cl (0.000, 0.500, 0.000)
O (0.500, 0.500, 0.500)

- formation energy from raw total energies (eV per formula unit) = 3.9
- E above lowest polymorph (meV/atom) = 1040
- V (A^3/atom) = 30.90
- final energy (eV per atom) = -2.499